Entry from Alexandria via LeMat-Bulk: a relaxed CaInAgF6 crystal (GGA-PBE).

**Size of the total moment**: 0.10 μB/cell

Cell: 5.285 5.285 10.675 Å, 90.00 90.00 90.00°
Fractional coordinates of all 18 atoms:
1 Ca 0.000 0.000 0.000
2 Ca 0.500 0.500 0.500
3 In 0.000 0.000 0.664
4 In 0.500 0.500 0.164
5 Ag 0.000 0.000 0.330
6 Ag 0.500 0.500 0.830
7 F 0.177 0.177 0.820
8 F 0.198 0.198 0.522
9 F 0.218 0.218 0.150
10 F 0.282 0.718 0.650
11 F 0.302 0.698 0.022
12 F 0.323 0.677 0.320
13 F 0.677 0.323 0.320
14 F 0.698 0.302 0.022
15 F 0.718 0.282 0.650
16 F 0.782 0.782 0.150
17 F 0.802 0.802 0.522
18 F 0.823 0.823 0.820

---

Entry from Alexandria via LeMat-Bulk: a relaxed CaInAg2F8 crystal (GGA-PBE).

**Size of the total moment**: 1.03 μB/cell

Cell: 4.015 5.609 7.522 Å, 86.39 89.93 88.94°
Fractional coordinates of all 12 atoms:
1 Ca 0.000 0.000 0.000
2 In 0.000 0.000 0.500
3 Ag 0.495 0.502 0.750
4 Ag 0.505 0.498 0.250
5 F 0.021 0.231 0.718
6 F 0.023 0.225 0.256
7 F 0.477 0.777 0.515
8 F 0.492 0.758 0.015
9 F 0.508 0.242 0.985
10 F 0.523 0.223 0.485
11 F 0.977 0.775 0.744
12 F 0.979 0.769 0.282

---

Entry from Alexandria via LeMat-Bulk: a relaxed KCa2AgF8 crystal (GGA-PBE).

**Size of the total moment**: 0.00 μB/cell

Cell: 5.259 7.190 5.592 Å, 90.00 92.66 90.00°
Fractional coordinates of all 12 atoms:
1 K 0.000 0.000 0.000
2 Ca 0.500 0.257 0.500
3 Ca 0.500 0.743 0.500
4 Ag 0.000 0.500 0.000
5 F 0.201 0.303 0.173
6 F 0.201 0.697 0.173
7 F 0.303 0.500 0.665
8 F 0.326 0.000 0.667
9 F 0.674 0.000 0.333
10 F 0.697 0.500 0.335
11 F 0.799 0.303 0.827
12 F 0.799 0.697 0.827

---

Entry from Alexandria via LeMat-Bulk: a relaxed K2CaAg2F6 crystal (GGA-PBE).

**Size of the total moment**: 0.00 μB/cell

Cell: 6.589 6.589 6.533 Å, 115.04 115.04 57.68°
Fractional coordinates of all 11 atoms:
1 K 0.226 0.226 0.153
2 K 0.774 0.774 0.847
3 Ca 0.000 0.000 0.500
4 Ag 0.424 0.424 0.748
5 Ag 0.576 0.576 0.252
6 F 0.169 0.680 0.205
7 F 0.206 0.206 0.541
8 F 0.320 0.831 0.795
9 F 0.680 0.169 0.205
10 F 0.794 0.794 0.459
11 F 0.831 0.320 0.795

---

Entry from Alexandria via LeMat-Bulk: a relaxed LiCa2AgF crystal (GGA-PBE).

**Size of the total moment**: 0.00 μB/cell

Cell: 5.153 5.153 3.980 Å, 90.00 90.00 90.00°
Fractional coordinates of all 5 atoms:
1 Li 0.000 0.000 0.000
2 Ca 0.000 0.500 0.500
3 Ca 0.500 0.000 0.500
4 Ag 0.500 0.500 0.000
5 F 0.000 0.000 0.500

---

Entry from Alexandria via LeMat-Bulk: a relaxed Li2CaAgF8 crystal (GGA-PBE).

**Size of the total moment**: 1.03 μB/cell

Cell: 4.724 4.891 6.947 Å, 86.37 86.86 86.43°
Fractional coordinates of all 12 atoms:
1 Li 0.028 0.027 0.291
2 Li 0.972 0.973 0.709
3 Ca 0.500 0.500 0.500
4 Ag 0.500 0.500 0.000
5 F 0.175 0.193 0.508
6 F 0.215 0.230 0.023
7 F 0.292 0.706 0.226
8 F 0.301 0.713 0.770
9 F 0.699 0.287 0.230
10 F 0.708 0.294 0.774
11 F 0.785 0.770 0.977
12 F 0.825 0.807 0.492

---

Entry from Alexandria via LeMat-Bulk: a relaxed CaMgAgF6 crystal (GGA-PBE).

**Size of the total moment**: 2.03 μB/cell

Cell: 4.993 4.993 10.339 Å, 90.00 90.00 90.00°
Fractional coordinates of all 18 atoms:
1 Ca 0.000 0.000 0.000
2 Ca 0.500 0.500 0.500
3 Mg 0.000 0.000 0.663
4 Mg 0.500 0.500 0.163
5 Ag 0.000 0.000 0.329
6 Ag 0.500 0.500 0.829
7 F 0.185 0.185 0.515
8 F 0.190 0.190 0.817
9 F 0.217 0.217 0.162
10 F 0.283 0.717 0.662
11 F 0.310 0.690 0.317
12 F 0.315 0.685 0.015
13 F 0.685 0.315 0.015
14 F 0.690 0.310 0.317
15 F 0.717 0.283 0.662
16 F 0.783 0.783 0.162
17 F 0.810 0.810 0.817
18 F 0.815 0.815 0.515

---

Entry from Alexandria via LeMat-Bulk: a relaxed CaMgAg2F6 crystal (GGA-PBE).

**Size of the total moment**: 0.35 μB/cell

Cell: 5.782 5.928 10.045 Å, 90.00 124.71 90.00°
Fractional coordinates of all 20 atoms:
1 Ca 0.000 0.000 0.000
2 Ca 0.000 0.500 0.500
3 Mg 0.500 0.000 0.500
4 Mg 0.500 0.500 0.000
5 Ag 0.264 0.045 0.749
6 Ag 0.264 0.455 0.249
7 Ag 0.736 0.545 0.751
8 Ag 0.736 0.955 0.251
9 F 0.159 0.034 0.266
10 F 0.159 0.466 0.766
11 F 0.282 0.700 0.054
12 F 0.282 0.800 0.554
13 F 0.364 0.228 0.059
14 F 0.364 0.272 0.559
15 F 0.636 0.728 0.441
16 F 0.636 0.772 0.941
17 F 0.718 0.200 0.446
18 F 0.718 0.300 0.946
19 F 0.841 0.534 0.234
20 F 0.841 0.966 0.734

---

| no. | calculated volume (Å³ per cell) | E (eV/atom) | formation energy (no corrections) (meV/atom) |
| --- | --- | --- | --- |
| 1 | 298.2 | -4.75 | -2655 |
| 2 | 169.0 | -4.36 | -2237 |
| 3 | 211.2 | -4.64 | -2728 |
| 4 | 209.9 | -4.31 | -2388 |
| 5 | 105.7 | -3.33 | -1203 |
| 6 | 159.7 | -4.25 | -2277 |
| 7 | 257.7 | -4.78 | -2813 |
| 8 | 283.1 | -4.67 | -2614 |